# 1
! HfV12Ge6 (PBE, relaxed); values from VASP
! density = 6.91 g/cm3
! symmetry = R-3m (166)
! V = 294 Å³/cell
! VASP energy = -7.733 eV per atom
&SYSTEM
  ibrav = 0, nat = 19, ntyp = 3
/
ATOMIC_SPECIES
V 50.94 V.upf
Ge 72.64 Ge.upf
Hf 178.49 Hf.upf
ATOMIC_POSITIONS angstrom
V 1.631 2.101 5.315
V 1.820 0.120 2.525
V 5.117 -0.411 3.130
Ge 0.119 0.153 4.588
V 1.726 5.724 0.644
Hf 0.000 0.000 0.000
V 1.820 2.345 0.945
Ge 3.332 0.164 4.604
V -1.666 1.355 5.616
Ge 0.119 4.281 1.657
V 1.726 -1.278 5.616
Ge -0.667 3.269 4.604
V 3.786 2.652 3.735
V -0.335 1.793 2.525
V 1.631 4.326 3.735
Ge 3.332 4.292 1.672
Ge 4.118 1.176 1.657
V -1.666 4.856 3.130
V 5.117 3.091 0.644
CELL_PARAMETERS angstrom
6.947 -0.027 -0.038
-1.748 6.723 -0.038
-1.748 -2.251 6.335

# 2
! Ac2In3Pt (PBE, relaxed); values from VASP
! density = 9.39 g/cm3
! symmetry = Fmmm (69)
! V = 351 Å³/cell
! VASP energy = -4.357 eV per atom
&SYSTEM
  ibrav = 0, nat = 12, ntyp = 3
/
ATOMIC_SPECIES
In 114.82 In.upf
Ac 227.00 Ac.upf
Pt 195.08 Pt.upf
ATOMIC_POSITIONS angstrom
In -2.443 -0.845 1.329
Ac -3.380 1.246 3.960
In -6.664 0.174 3.398
In -1.986 1.980 0.836
Ac -1.965 -3.463 3.532
In -5.257 -4.416 3.100
In -3.393 6.570 1.134
Ac -3.745 -3.782 0.060
In -6.207 2.999 2.904
Ac -5.269 0.907 0.274
Pt -4.776 -1.707 2.604
Pt -3.874 3.861 1.630
CELL_PARAMETERS angstrom
-4.744 -3.961 -1.891
-0.966 -3.283 5.483
-2.940 9.398 0.642

# 3
! Al6CdGa12 (PBE, relaxed); values from VASP
! density = 5.08 g/cm3
! symmetry = R-3m (166)
! V = 363 Å³/cell
! VASP energy = -3.093 eV per atom
&SYSTEM
  ibrav = 0, nat = 19, ntyp = 3
/
ATOMIC_SPECIES
Al 26.98 Al.upf
Ga 69.72 Ga.upf
Cd 112.41 Cd.upf
ATOMIC_POSITIONS angstrom
Al -4.260 -3.499 -0.441
Ga -2.114 -0.084 1.925
Ga -6.345 0.423 1.163
Al -4.027 1.852 1.249
Ga -3.427 -2.254 4.834
Ga -5.128 3.696 -0.481
Ga -4.860 0.607 -4.026
Ga -3.875 -3.913 -3.140
Ga -1.942 -2.070 -0.354
Ga -5.712 -2.483 1.732
Cd 0.000 0.000 0.000
Al -4.532 -0.371 3.148
Al -3.030 -2.724 2.145
Al -3.755 -1.276 -2.340
Al -5.257 1.077 -1.337
Ga -6.172 -1.563 -1.116
Ga -3.159 -5.343 1.289
Ga -4.412 2.266 3.949
Ga -2.575 0.836 -0.924
CELL_PARAMETERS angstrom
-3.148 -1.979 -6.599
-1.297 -5.674 4.847
-3.842 6.005 2.560

# 4
! TlBiNO2 (PBE, relaxed); values from VASP
! raw formation energy = 504 meV per atom
! density = 9.85 g/cm3
! symmetry = P4/mmm (123)
! V = 77 Å³/cell
&SYSTEM
  ibrav = 0, nat = 5, ntyp = 4
/
ATOMIC_SPECIES
O 16.00 O.upf
Bi 208.98 Bi.upf
N 14.01 N.upf
Tl 204.38 Tl.upf
ATOMIC_POSITIONS angstrom
O 0.000 2.115 0.000
Bi 2.115 2.115 2.164
N 0.000 0.000 2.164
Tl 0.000 0.000 0.000
O 2.115 0.000 0.000
CELL_PARAMETERS angstrom
4.230 0.000 0.000
0.000 4.230 0.000
0.000 0.000 4.327